[1]
A relaxed structure of LiGdSO, computed with PBE.

Space-group type: Pca2_1, No. 29
Calculated volume: 17.794 Å³ per atom
E_tot: -98.72 eV/cell
Crystal system: orthorhombic

```
LiGdSO
1.0
-3.7411 -1.3360 3.8495
-0.3811 -5.1546 -2.1593
6.7391 -2.8304 5.5671
Gd Li O S
4 4 4 4
Cartesian
1.7692 -1.0221 2.0692
-0.2889 -4.2260 2.9316
4.1131 -4.6638 3.0833
2.0551 -7.8678 3.9457
-1.4967 -1.4565 1.6353
-3.4473 -3.2079 3.1062
4.5506 -6.6537 5.7086
2.5999 -8.4050 7.1795
0.1702 -0.7467 0.8623
-1.8442 -3.3605 1.9719
5.4318 -5.6139 4.2866
3.4173 -8.2277 5.3962
1.8695 -3.7393 1.2249
-0.1860 -6.9096 2.1014
4.0092 -1.9806 3.9146
1.9536 -5.1509 4.7912
```



[2]
A relaxed structure of LiGdSO, computed with PBE.

Space-group type: C2, No. 5
Calculated volume: 15.874 Å³ per atom
E_tot: -101.66 eV/cell
Crystal system: monoclinic

```
LiGdSO
1.0
5.2443 0.0000 -1.4676
0.0000 5.4525 0.0000
-2.8691 0.0000 9.6853
Gd Li O S
4 4 4 4
Cartesian
0.3130 4.0049 1.1203
2.9356 1.2782 0.3867
-0.5604 4.0044 7.8310
2.0622 1.2786 7.0974
-0.1233 5.4051 4.4746
2.4979 5.3996 3.7411
-0.1226 2.6734 4.4766
2.4985 2.6788 3.7432
1.3116 2.6419 -0.3670
3.9334 2.6444 -1.1007
3.9327 5.3682 -1.1005
1.3109 5.3707 -0.3669
0.7942 1.3091 2.7046
3.4161 4.0341 1.9722
-1.0409 1.3079 6.2455
1.5810 4.0353 5.5131
```



[3]
A relaxed structure of Li3Gd3Se2O12, computed with PBE.

Space-group type: Ia-3d, No. 230
Calculated volume: 11.064 Å³ per atom
E_tot: -513.75 eV/cell
Crystal system: cubic

```
Li3Gd3Se2O12
1.0
6.0484 6.0484 6.0484
-6.0484 6.0484 -6.0484
-6.0484 -6.0484 6.0484
Gd Li O Se
12 12 48 8
Cartesian
0.0000 3.0242 1.5121
-4.5363 6.0485 -3.0242
-3.0242 4.5363 0.0000
3.0242 4.5363 6.0485
-1.5121 6.0484 3.0242
-6.0485 3.0242 -1.5121
0.0000 3.0242 7.5606
-4.5363 0.0000 3.0242
-3.0242 1.5121 6.0484
-9.0727 1.5121 0.0000
-1.5121 0.0000 9.0727
-6.0485 3.0242 4.5363
1.5121 6.0485 3.0242
0.0000 9.0727 1.5121
-3.0242 1.5121 0.0000
-3.0242 7.5606 0.0000
-1.5121 0.0000 3.0242
0.0000 3.0242 4.5363
-6.0484 3.0242 1.5121
-4.5363 6.0485 3.0242
-3.0242 -1.5121 6.0485
-3.0242 4.5363 6.0485
-7.5606 0.0000 3.0242
-6.0485 -3.0242 4.5363
-2.6904 4.7218 -2.4379
-0.5863 4.3509 -0.3338
-0.5863 10.3993 0.3338
2.6904 4.7218 3.6105
4.3509 6.3823 5.4622
-2.4379 8.7388 -1.3267
0.3338 5.4622 1.6976
-4.7218 3.6105 -3.3580
-0.3338 0.5863 1.6976
1.3267 2.4379 3.3580
-1.6976 6.3823 0.5863
-3.6105 2.6904 -1.3267
-4.3509 6.3823 -0.5863
-2.4379 2.6904 1.3267
-1.3267 8.4864 2.6904
0.3338 6.6347 4.3509
-1.3267 3.6105 3.3580
-6.3823 5.4622 -1.6976
-4.3509 0.3338 0.5863
2.4379 2.6904 7.3751
0.5863 4.3509 5.7146
-2.6904 -1.3267 2.4379
-3.3580 4.7218 2.4379
-5.4622 4.3509 0.3338
-2.6904 1.3267 3.6105
-0.5863 1.6976 5.7146
-6.6347 1.6976 0.3338
-3.3580 7.3751 3.6105
-1.6976 5.7146 5.4622
-8.4864 3.3580 -1.3267
0.3338 0.5863 7.7460
-4.7218 2.4379 2.6904
-4.7218 -2.4379 3.3580
-6.3823 -0.5863 1.6976
-1.6976 -0.3338 6.6347
-3.6105 3.3580 4.7218
-4.3509 -0.3338 5.4622
-2.4379 3.3580 7.3751
-5.7146 5.4622 4.3509
-7.3751 3.6105 2.6904
-1.3267 2.4379 9.4065
-6.3823 0.5863 4.3509
-3.6105 -2.6904 7.3751
-10.3993 -0.3338 0.5863
-5.4622 -4.3509 5.7146
-8.7388 1.3267 2.4379
-3.3580 1.3267 8.4864
-5.4622 1.6976 6.3823
0.0000 0.0000 0.0000
3.0242 3.0242 3.0242
-3.0242 3.0242 -3.0242
0.0000 6.0484 0.0000
-3.0242 -3.0242 3.0242
-3.0242 3.0242 3.0242
0.0000 0.0000 6.0484
-6.0484 0.0000 0.0000
```



[4]
A relaxed structure of Li4GdTcO6, computed with PBE.

Space-group type: C2, No. 5
Calculated volume: 10.222 Å³ per atom
E_tot: -77.54 eV/cell
Crystal system: monoclinic

```
Li4GdTcO6
1.0
4.9829 0.4033 -2.0181
-0.8568 -2.5846 4.6530
-1.9732 -3.4881 -3.2895
Gd Li O Tc
1 4 6 1
Cartesian
4.0231 -0.0878 -0.9217
2.0601 -1.0922 1.3208
-1.6998 -4.2552 2.8442
1.9392 -2.3933 -1.3130
0.1356 -3.3161 0.7474
3.6707 -2.0141 0.2042
1.4262 -2.9619 2.3245
0.5883 -1.3268 -0.2912
1.7533 -4.2462 -0.5790
-1.4119 -3.8018 -0.5361
0.3576 -2.6958 -3.0013
0.1150 -2.0874 3.5428
```



[5]
A relaxed structure of LiGdZnO3, computed with PBE.

Space-group type: Cmcm, No. 63
Calculated volume: 11.791 Å³ per atom
E_tot: -70.05 eV/cell
Crystal system: orthorhombic

```
LiGdZnO3
1.0
-3.8153 2.9295 5.2656
2.3790 -5.4856 -3.8875
4.8896 -0.6441 3.9011
Gd Li O Zn
2 2 6 2
Cartesian
0.0000 0.0000 0.0000
2.4448 -0.3220 1.9506
-0.5437 -0.0154 3.2129
3.9970 -3.1848 2.0664
-2.6645 1.5490 3.9043
0.3899 -1.2837 1.8334
-0.5178 1.2662 5.6170
3.9711 -4.4664 -0.3378
3.0635 -1.9165 3.4459
6.1179 -4.7492 1.3750
1.6159 -2.9493 0.0217
1.8375 -0.2510 5.2575
```



[6]
A relaxed structure of LiGdOs, computed with PBE.

Space-group type: F-43m, No. 216
Calculated volume: 18.762 Å³ per atom
E_tot: -16.18 eV/cell
Crystal system: cubic

```
LiGdOs
1.0
0.0000 3.0418 3.0418
3.0418 0.0000 3.0418
3.0418 3.0418 0.0000
Gd Li Os
1 1 1
Cartesian
1.5209 1.5209 1.5209
0.0000 0.0000 0.0000
4.5626 4.5626 4.5626
```